Here is crystalline Tb6CeSm2Dy3 at its relaxed geometry from the Alexandria database. Energies are from PBE.

Output
Space-group type: C2/m, No. 12
Total energy, eV per atom: -4.711
Crystal system: monoclinic
Energy of formation from the pure elements, eV per atom: 0.036

Lattice parameters (Å, degrees): 6.179 6.179 11.817 95.00 95.00 119.99
Atoms (fractional coordinates):
Tb  0.585  0.916  0.749
Sm  0.333  0.667  0.000
Tb  0.753  0.753  0.252
Sm  0.667  0.333  0.000
Tb  0.247  0.247  0.748
Tb  0.415  0.084  0.251
Tb  0.084  0.415  0.251
Dy  0.833  0.167  0.500
Ce  0.000  0.000  0.000
Tb  0.916  0.585  0.749
Dy  0.500  0.500  0.500
Dy  0.167  0.833  0.500